First-principles (PBE) data for crystalline Ba3PmAu2O6 at its relaxed geometry, as listed in Alexandria via LeMat-Bulk.

## Properties
uncorrected formation energy	-1.6950	eV/atom
symmetry	P-3m1, No. 164
M_tot	0.00	μB/cell

```
Ba3PmAu2O6
1.0
6.2945 0.0000 0.0000
-3.1472 5.4512 0.0000
0.0000 0.0000 6.9623
O Pm Au Ba
6 1 2 3
Cartesian
3.1472 3.6306 4.8373
1.5767 0.9103 4.8373
0.0000 1.8206 2.1250
-1.5706 4.5409 2.1250
4.7178 0.9103 4.8373
1.5706 4.5409 2.1250
0.0000 0.0000 3.4811
0.0000 3.6341 0.8960
3.1472 1.8171 6.0662
0.0000 3.6341 4.3768
0.0000 0.0000 0.0000
3.1472 1.8171 2.5855
```

***

First-principles (PBE) data for crystalline Ba2PrAu2O6 at its relaxed geometry, as listed in Alexandria via LeMat-Bulk.

## Properties
uncorrected formation energy	-1.4911	eV/atom
symmetry	R-3m, No. 166
M_tot	2.85	μB/cell

```
Ba2PrAu2O6
1.0
6.4270 0.0000 0.0000
3.2135 5.5659 0.0000
3.2135 1.8553 6.1684
O Au Ba Pr
6 2 2 1
Cartesian
6.4270 5.7627 4.4663
4.6498 4.7367 1.7021
4.6499 2.6846 4.4663
6.4270 1.6586 1.7021
8.2041 4.7367 1.7021
8.2041 2.6846 4.4663
6.4270 3.7106 4.5878
6.4270 3.7106 1.5806
9.6405 5.5659 3.8427
3.2135 1.8553 2.3257
0.0000 0.0000 0.0000
```

***

First-principles (PBE) data for crystalline BaPtAu2O at its relaxed geometry, as listed in Alexandria via LeMat-Bulk.

## Properties
uncorrected formation energy	1.5065	eV/atom
symmetry	P4/mmm, No. 123
M_tot	2.07	μB/cell

```
BaPtAu2O
1.0
6.2318 0.0000 0.0000
0.0000 5.5694 0.0000
0.0000 0.0000 6.2318
O Au Pt Ba
1 2 1 1
Cartesian
3.1159 2.7847 3.1159
3.1159 0.0000 0.0000
0.0000 0.0000 3.1159
0.0000 2.7847 0.0000
0.0000 0.0000 0.0000
```

***

First-principles (PBE) data for crystalline BaPt2AuO at its relaxed geometry, as listed in Alexandria via LeMat-Bulk.

## Properties
uncorrected formation energy	0.6631	eV/atom
symmetry	P4/mmm, No. 123
M_tot	0.08	μB/cell

```
BaPt2AuO
1.0
-4.7819 0.7527 0.8799
0.1406 -4.4675 4.5859
1.1528 3.4438 3.3195
Pt Ba Au O
2 1 1 1
Cartesian
0.5764 1.7219 1.6598
-2.3910 0.3764 0.4399
0.0703 -2.2337 2.2929
0.0000 0.0000 0.0000
-1.7443 -0.1355 4.3926
```

***

Among the records above, which one has the lowest M_tot? Ba3PmAu2O6